# 1
{
  "formula": "Ce2DyGe2Pd2",
  "functional": "PBE",
  "state": "relaxed",
  "sg": "R-3m, No. 166",
  "delta_e_f_ev_per_atom": -0.777,
  "vol_a3_per_atom": 21.04,
  "lattice_angstrom": [[2.195, 1.267, 8.828], [-2.195, 1.267, 8.828], [0.000, -2.534, 8.828]],
  "species": ["Ce", "Ce", "Dy", "Ge", "Ge", "Pd", "Pd"],
  "frac_coords": [[0.138, 0.138, 0.138], [0.862, 0.862, 0.862], [0.000, 0.000, 0.000], [0.262, 0.262, 0.262], [0.738, 0.738, 0.738], [0.404, 0.404, 0.404], [0.596, 0.596, 0.596]]
}


# 2
{
  "formula": "ZrMo2Cl",
  "functional": "PBE",
  "state": "relaxed",
  "sg": "Immm, No. 71",
  "raw_formation_energy_kj_per_mol_atoms": 24.0,
  "vol_a3_per_atom": 17.41,
  "lattice_angstrom": [[-1.578, 2.121, 5.203], [1.578, -2.121, 5.203], [1.578, 2.121, -5.203]],
  "species": ["Zr", "Mo", "Mo", "Cl"],
  "frac_coords": [[0.000, 0.000, 0.000], [0.253, 0.753, 0.500], [0.747, 0.247, 0.500], [0.500, 0.500, 0.000]]
}